The following is a DFT calculation (SCAN) of a crystal of Sr3Be4 relaxed with PBEsol.

Cell and atoms, written as POSCAR:
```
Sr3Be4
1.0
-1.609 1.609 14.359
1.609 -1.609 14.359
1.609 1.609 -14.359
Sr Be
3 4
Cartesian
0.000 0.000 0.000
0.000 0.000 8.965
0.000 0.000 19.753
0.000 0.000 3.075
0.000 0.000 11.985
0.000 0.000 16.733
0.000 0.000 25.643
```

Output
Calculated volume ... 148.72 Å³/cell
Electronic total energy ... -11.42 eV per atom
Total magnetization ... 0.0 μB per cell
DOS(E_F) ... 0.32 states/eV/atom